# 1
Compound: SnW3Br
Source: the Alexandria database
Functional: PBE-GGA
Structure: relaxed

a = 4.9949 Å, b = 4.9949 Å, c = 4.9949 Å
α = 90.00°, β = 90.00°, γ = 90.00°
Closest atoms and distances in Å follow each position.
Space group Pm-3m (No. 221)
Inequivalent atoms, fractional coordinates:
Sn1 0.0000 0.0000 0.0000 [1 per cell]  6 W 2.50
W1 0.0000 0.0000 0.5000 [3 per cell]  2 Sn 2.50
Br1 0.5000 0.5000 0.5000 [1 per cell]  12 W 3.53

Formation energy (no corrections) ... 3.025 eV per atom
V ... 24.92 Å³/atom
DOS(E_F) ... 5.2 states/eV/f.u.

***

# 2
Compound: SnW2Br
Source: the Alexandria database
Functional: PBE-GGA
Structure: relaxed

a = 6.5939 Å, b = 6.5939 Å, c = 6.5939 Å
α = 90.00°, β = 90.00°, γ = 90.00°
Closest atoms and distances in Å follow each position.
Space group Fm-3m (No. 225)
Inequivalent atoms, fractional coordinates:
Sn1 0.0000 0.0000 0.0000 [4 per cell]  8 W 2.86
W1 0.2500 0.2500 0.2500 [8 per cell]  4 Sn 2.86, 4 Br 2.86
Br1 0.0000 0.0000 0.5000 [4 per cell]  8 W 2.86

Formation energy (no corrections) ... 1.215 eV per atom
V ... 17.92 Å³/atom
DOS(E_F) ... 5.9 states/eV/f.u.

***

# 3
Compound: SnW2Br
Source: the Alexandria database
Functional: PBE-GGA
Structure: relaxed

a = 4.3231 Å, b = 4.3231 Å, c = 17.9854 Å
α = 90.00°, β = 90.00°, γ = 90.00°
Closest atoms and distances in Å follow each position.
Space group I-42d (No. 122)
Inequivalent atoms, fractional coordinates:
Sn1 0.0000 0.0000 0.0000 [4 per cell]  4 W 2.85, 4 Br 3.06
W1 0.1803 0.2500 0.6250 [8 per cell]  2 Br 2.61, 2 W 2.67, 2 Sn 2.85
Br1 0.0000 0.0000 0.5000 [4 per cell]  4 W 2.61

Formation energy (no corrections) ... 1.278 eV per atom
V ... 21.01 Å³/atom
DOS(E_F) ... 4.2 states/eV/f.u.

***

# 4
Compound: SnWBr2
Source: the Alexandria database
Functional: PBE-GGA
Structure: relaxed

a = 9.1437 Å, b = 9.1437 Å, c = 5.4159 Å
α = 90.00°, β = 90.00°, γ = 90.00°
Closest atoms and distances in Å follow each position.
Space group I-42d (No. 122)
Inequivalent atoms, fractional coordinates:
Sn1 0.0000 0.0000 0.0000 [4 per cell]  2 W 2.71
W1 0.0000 0.0000 0.5000 [4 per cell]  4 Br 2.63, 2 Sn 2.71
Br1 0.1218 0.2500 0.6250 [8 per cell]  2 W 2.63

Formation energy (no corrections) ... 0.501 eV per atom
V ... 28.30 Å³/atom
DOS(E_F) ... 2.5 states/eV/f.u.

***

# 5
Compound: SnWBr2
Source: the Alexandria database
Functional: PBE-GGA
Structure: relaxed

a = 6.9833 Å, b = 6.9833 Å, c = 6.9833 Å
α = 90.00°, β = 90.00°, γ = 90.00°
Closest atoms and distances in Å follow each position.
Space group Fm-3m (No. 225)
Inequivalent atoms, fractional coordinates:
Sn1 0.0000 0.0000 0.0000 [4 per cell]  8 Br 3.02
W1 0.0000 0.0000 0.5000 [4 per cell]  8 Br 3.02
Br1 0.2500 0.2500 0.2500 [8 per cell]  4 W 3.02, 4 Sn 3.02

Formation energy (no corrections) ... 1.132 eV per atom
V ... 21.28 Å³/atom
DOS(E_F) ... 3.7 states/eV/f.u.

***

# 6
Compound: YSnBr2
Source: the Alexandria database
Functional: PBE-GGA
Structure: relaxed

a = 7.4797 Å, b = 7.4797 Å, c = 7.4797 Å
α = 90.00°, β = 90.00°, γ = 90.00°
Closest atoms and distances in Å follow each position.
Space group Fm-3m (No. 225)
Inequivalent atoms, fractional coordinates:
Y1 0.0000 0.0000 0.0000 [4 per cell]  8 Br 3.24
Sn1 0.0000 0.0000 0.5000 [4 per cell]  8 Br 3.24
Br1 0.2500 0.2500 0.2500 [8 per cell]  4 Y 3.24, 4 Sn 3.24

Formation energy (no corrections) ... -0.546 eV per atom
V ... 26.15 Å³/atom
DOS(E_F) ... 2.8 states/eV/f.u.

***

# 7
Compound: Y2SnBr
Source: the Alexandria database
Functional: PBE-GGA
Structure: relaxed

a = 7.5338 Å, b = 7.5338 Å, c = 7.5338 Å
α = 90.00°, β = 90.00°, γ = 90.00°
Closest atoms and distances in Å follow each position.
Space group Fm-3m (No. 225)
Inequivalent atoms, fractional coordinates:
Y1 0.2500 0.2500 0.2500 [8 per cell]  4 Sn 3.26, 4 Br 3.26
Sn1 0.0000 0.0000 0.0000 [4 per cell]  8 Y 3.26
Br1 0.0000 0.0000 0.5000 [4 per cell]  8 Y 3.26

Formation energy (no corrections) ... -0.797 eV per atom
V ... 26.72 Å³/atom
DOS(E_F) ... 3.9 states/eV/f.u.

***

# 8
Compound: YSn3Br
Source: the Alexandria database
Functional: PBE-GGA
Structure: relaxed

a = 5.9484 Å, b = 5.9484 Å, c = 5.9484 Å
α = 90.00°, β = 90.00°, γ = 90.00°
Closest atoms and distances in Å follow each position.
Space group Pm-3m (No. 221)
Inequivalent atoms, fractional coordinates:
Y1 0.0000 0.0000 0.0000 [1 per cell]  6 Sn 2.97
Sn1 0.0000 0.0000 0.5000 [3 per cell]  2 Y 2.97
Br1 0.5000 0.5000 0.5000 [1 per cell]  12 Sn 4.21

Formation energy (no corrections) ... 0.402 eV per atom
V ... 42.09 Å³/atom
DOS(E_F) ... 6.5 states/eV/f.u.

***

# 9
Compound: YSn2Br8
Source: the Alexandria database
Functional: PBE-GGA
Structure: relaxed

a = 12.2537 Å, b = 10.7581 Å, c = 7.9695 Å
α = 90.00°, β = 111.90°, γ = 90.00°
Closest atoms and distances in Å follow each position.
Space group C2/m (No. 12)
Inequivalent atoms, fractional coordinates:
Y1 0.0000 0.0000 0.0000 [2 per cell]  6 Br 2.80-2.84
Sn1 0.1449 0.0000 0.6278 [4 per cell]  3 Br 2.55-2.78
Br1 0.0864 0.1837 0.8259 [8 per cell]  1 Sn 2.78, 1 Y 2.84
Br2 0.1356 0.5000 0.1792 [4 per cell]  1 Sn 2.55
Br3 0.2093 0.0000 0.3055 [4 per cell]  1 Y 2.80, 1 Sn 2.96

Formation energy (no corrections) ... -1.036 eV per atom
V ... 44.31 Å³/atom
DOS(E_F) ... 4.8 states/eV/f.u.

***

# 10
Compound: YSn2Br2
Source: the Alexandria database
Functional: PBE-GGA
Structure: relaxed

a = 8.7515 Å, b = 8.7515 Å, c = 3.7249 Å
α = 90.00°, β = 90.00°, γ = 90.00°
Closest atoms and distances in Å follow each position.
Space group P4/mbm (No. 127)
Inequivalent atoms, fractional coordinates:
Y1 0.0000 0.0000 0.0000 [2 per cell]  4 Br 3.45, 8 Sn 3.67, 2 Y 3.72
Sn1 0.1957 0.3043 0.5000 [4 per cell]  2 Br 2.88
Br1 0.1272 0.6272 0.0000 [4 per cell]  2 Sn 2.88, 1 Br 3.15

Formation energy (no corrections) ... -0.291 eV per atom
V ... 28.53 Å³/atom
DOS(E_F) ... 2.5 states/eV/f.u.

***

# 11
Compound: YSnBr2
Source: the Alexandria database
Functional: PBE-GGA
Structure: relaxed

a = 7.2633 Å, b = 7.2633 Å, c = 12.6424 Å
α = 90.00°, β = 90.00°, γ = 90.00°
Closest atoms and distances in Å follow each position.
Space group I-42d (No. 122)
Inequivalent atoms, fractional coordinates:
Y1 0.0000 0.0000 0.0000 [4 per cell]  4 Br 2.73
Sn1 0.0000 0.0000 0.5000 [4 per cell]  4 Br 3.37
Br1 0.1761 0.2500 0.1250 [8 per cell]  2 Y 2.73

Formation energy (no corrections) ... -0.345 eV per atom
V ... 41.68 Å³/atom
DOS(E_F) ... 2.1 states/eV/f.u.

***

# 12
Compound: YSn3Br
Source: the Alexandria database
Functional: PBE-GGA
Structure: relaxed

a = 5.4846 Å, b = 5.4846 Å, c = 5.4846 Å
α = 90.00°, β = 90.00°, γ = 90.00°
Closest atoms and distances in Å follow each position.
Space group Pm-3m (No. 221)
Inequivalent atoms, fractional coordinates:
Y1 0.0000 0.0000 0.0000 [1 per cell]  12 Sn 3.88
Sn1 0.0000 0.5000 0.5000 [3 per cell]  2 Br 2.74
Br1 0.5000 0.5000 0.5000 [1 per cell]  6 Sn 2.74

Formation energy (no corrections) ... 0.342 eV per atom
V ... 33.00 Å³/atom
DOS(E_F) ... 4.4 states/eV/f.u.